[1]
This record from Alexandria via LeMat-Bulk describes a geometry-optimized K2TcPt structure. The functional is PBE.

Cell lengths 8.7564, 2.8574, 9.8175 Å; angles 90.00, 92.65, 90.00 degrees
Space group Cm (No. 8)
Inequivalent atoms, fractional coordinates:
1 K 0.0000 0.0000 0.0000 (multiplicity 2)
2 K 0.2320 0.0000 0.5648 (multiplicity 2)
3 Tc 0.2543 0.5000 0.2479 (multiplicity 2)
4 Pt 0.4906 0.0000 0.3223 (multiplicity 2)

energy of formation from the pure elements: 49 kJ/mol of atoms
energy relative to the lowest polymorph listed for this composition: 83 meV/atom
final energy: -4.141 eV per atom

[2]
This record from Alexandria via LeMat-Bulk describes a geometry-optimized Zr2CdP structure. The functional is PBE.

Cell lengths 3.5633, 3.5633, 24.3732 Å; angles 90.00, 90.00, 120.00 degrees
Space group R3m (No. 160, hexagonal axes)
Inequivalent atoms, fractional coordinates:
1 Zr 0.0000 0.0000 0.0000 (multiplicity 3)
2 Zr 0.0000 0.0000 0.2361 (multiplicity 3)
3 Cd 0.0000 0.0000 0.7654 (multiplicity 3)
4 P 0.0000 0.0000 0.5047 (multiplicity 3)

energy of formation from the pure elements: -15 kJ/mol of atoms
energy relative to the lowest polymorph listed for this composition: 575 meV/atom
final energy: -6.013 eV per atom

[3]
This record from Alexandria via LeMat-Bulk describes a geometry-optimized SrLiZr4 structure. The functional is PBE.

Cell lengths 8.6604, 8.6604, 8.6604 Å; angles 90.00, 90.00, 90.00 degrees
Space group F-43m (No. 216)
Inequivalent atoms, fractional coordinates:
1 Sr 0.0000 0.0000 0.0000 (multiplicity 4)
2 Li 0.2500 0.2500 0.2500 (multiplicity 4)
3 Zr 0.1249 0.1249 0.6249 (multiplicity 16)

energy of formation from the pure elements: 50 kJ/mol of atoms
final energy: -5.775 eV per atom

[4]
This record from Alexandria via LeMat-Bulk describes a geometry-optimized CrMo2W2 structure. The functional is PBE.

Cell lengths 4.1916, 4.1916, 10.9059 Å; angles 90.00, 90.00, 90.00 degrees
Space group I4/mmm (No. 139)
Inequivalent atoms, fractional coordinates:
1 Cr 0.0000 0.0000 0.0000 (multiplicity 2)
2 Mo 0.0000 0.5000 0.2500 (multiplicity 4)
3 W 0.0000 0.0000 0.3833 (multiplicity 4)

energy of formation from the pure elements: 107 kJ/mol of atoms
energy relative to the lowest polymorph listed for this composition: 472 meV/atom
final energy: -10.331 eV per atom